This record from Alexandria describes an optimized crystal structure of Ca5VN4F2. The functional is PBE+U.

abc: 5.7533 5.5545 6.9272
angles: 90.00 90.00 121.19
Closest atoms and distances in Å follow each position.
Fractional positions:
V 0.4035 0.0000 0.0000  4 N 1.85-1.87
F 0.9808 0.5538 0.5000  5 Ca 2.39-2.64
N 0.5963 0.0000 0.7858  1 V 1.85
Ca 0.0710 0.3541 0.2259  2 F 2.39-2.64, 3 N 2.40-2.43
N 0.0542 0.6790 0.0000  1 V 1.87
Ca 0.7169 0.6459 0.7741  2 F 2.39-2.64, 3 N 2.40-2.43
N 0.3752 0.3210 0.0000  1 V 1.87
Ca 0.0710 0.3541 0.7741  2 F 2.39-2.64, 3 N 2.40-2.43
N 0.5963 0.0000 0.2142  1 V 1.85
Ca 0.7169 0.6459 0.2259  2 F 2.39-2.64, 3 N 2.40-2.43
F 0.4270 0.4462 0.5000  5 Ca 2.39-2.64
Ca 0.3966 0.0000 0.5000  2 N 2.29, 2 F 2.39

Output
Final energy ... -6.069 eV per atom
Crystal system ... orthorhombic
Density of states at the Fermi level ... 0.082 states/eV per atom
Space group ... Amm2, No. 38